[1]
The following is a DFT calculation (GGA-PBE) of BaYZr2 after structural relaxation.

a b c (Å): 3.4369 5.9533 12.0262
angles (deg): 90.00 90.00 90.00
Space group Imm2 (No. 44)
Symmetry-distinct sites (fractional):
Ba 0.0000 0.0000 0.0000
Y 0.0000 0.5000 0.7848
Zr 0.0000 0.0000 0.5327
Zr 0.0000 0.5000 0.2337

Computed properties:
- Crystal system: orthorhombic
- Total moment: 0.0 μB per formula unit
- Relative energy among the computed polymorphs: 0.205 eV/atom
- Formation energy from the elements: 0.479 eV/atom
- V: 123.0 Å³/f.u.

=====

[2]
The following is a DFT calculation (GGA-PBE) of Sm4Cd5Au2 after structural relaxation.

a b c (Å): 7.7926 3.6442 10.1048
angles (deg): 90.00 94.24 90.00
Space group P2/m (No. 10)
Symmetry-distinct sites (fractional):
Sm 0.1660 0.0000 0.3690
Sm 0.2464 0.0000 0.9455
Cd 0.1931 0.5000 0.6552
Cd 0.4486 0.5000 0.1959
Cd 0.5000 0.5000 0.5000
Au 0.0645 0.5000 0.1388

Computed properties:
- Crystal system: monoclinic
- Total moment: 0.0 μB per formula unit
- Formation energy from the elements: -0.453 eV/atom
- V: 286.2 Å³/f.u.

=====

[3]
The following is a DFT calculation (GGA-PBE) of CsAgHgTe after structural relaxation.

a b c (Å): 4.8357 4.8357 13.0440
angles (deg): 90.00 90.00 90.00
Space group P4/nmm (No. 129, origin choice 2)
Symmetry-distinct sites (fractional):
Cs 0.2500 0.2500 0.2437
Ag 0.2500 0.7500 0.0000
Hg 0.2500 0.7500 0.5000
Te 0.2500 0.2500 0.8743

Computed properties:
- Crystal system: tetragonal
- Total moment: 0.0 μB per formula unit
- Formation energy (no corrections): -0.441 eV per atom
- V: 152.5 Å³/f.u.